First-principles (PBE) data for a relaxed structure of LiYFePb, as listed in OQMD via LeMat-Bulk.

Calculated total energy   -80.41 eV/cell

Cell lengths 6.887, 6.887, 6.887 Å; angles 90.00, 90.00, 90.00 degrees
Positions (direct):
Li 0.000 0.000 0.000
Li 0.000 0.500 0.500
Li 0.500 0.000 0.500
Li 0.500 0.500 0.000
Y 0.250 0.250 0.250
Y 0.250 0.750 0.750
Y 0.750 0.250 0.750
Y 0.750 0.750 0.250
Fe 0.250 0.250 0.750
Fe 0.250 0.750 0.250
Fe 0.750 0.250 0.250
Fe 0.750 0.750 0.750
Pb 0.000 0.000 0.500
Pb 0.000 0.500 0.000
Pb 0.500 0.000 0.000
Pb 0.500 0.500 0.500